# 1
Below is an optimized crystal structure of TmLuAgPt, with properties calculated at the PBE level.

a = 4.936 Å, b = 4.936 Å, c = 4.936 Å
α = 60.00°, β = 60.00°, γ = 60.00°
Positions (direct):
Lu: 0.000 0.000 0.000
Tm: 0.500 0.500 0.500
Ag: 0.250 0.250 0.250
Pt: 0.750 0.750 0.750

Properties
The calculation puts the mass density at 12.628 g/cm³. Its space group is No. 216. For the formation energy, the calculation gives -836 meV/atom. The calculation puts the total energy at -21.2 eV per cell.


# 2
Below is an optimized crystal structure of LuZnAgPt, with properties calculated at the PBE level.

a = 4.687 Å, b = 4.687 Å, c = 4.687 Å
α = 60.00°, β = 60.00°, γ = 60.00°
Positions (direct):
Zn: 0.500 0.500 0.500
Lu: 0.000 0.000 0.000
Ag: 0.250 0.250 0.250
Pt: 0.750 0.750 0.750

Properties
The calculation puts the mass density at 12.388 g/cm³. Its space group is No. 216. For the formation energy, the calculation gives -609 meV/atom. The calculation puts the total energy at -17.1 eV per cell.


# 3
Below is an optimized crystal structure of LuPuAg, with properties calculated at the PBE level.

a = 3.362 Å, b = 3.362 Å, c = 7.127 Å
α = 103.64°, β = 103.64°, γ = 90.00°
Site moments in Bohr magnetons follow the coordinates.
Positions (direct):
Lu: 0.316 0.316 0.632  0.17
Ag: 0.675 0.675 0.350  0.02
Pu: 0.009 0.009 0.019  5.59

Properties
The calculation puts the mass density at 11.523 g/cm³. Its space group is No. 107. For the formation energy, the calculation gives -2 meV/atom. The calculation puts the total energy at -21.7 eV per cell.


- total energy of number 2 (LuZnAgPt)?
  -17.1 eV per cell


What did the first record say?
Below is an optimized crystal structure of TmLuAgPt, with properties calculated at the PBE level.

a = 4.936 Å, b = 4.936 Å, c = 4.936 Å
α = 60.00°, β = 60.00°, γ = 60.00°
Positions (direct):
Lu: 0.000 0.000 0.000
Tm: 0.500 0.500 0.500
Ag: 0.250 0.250 0.250
Pt: 0.750 0.750 0.750

Properties
The calculation puts the mass density at 12.628 g/cm³. Its space group is No. 216. For the formation energy, the calculation gives -836 meV/atom. The calculation puts the total energy at -21.2 eV per cell.


- What is the mass density in the third record?
  11.523 g/cm³


Repeat the third record exactly.
Below is an optimized crystal structure of LuPuAg, with properties calculated at the PBE level.

a = 3.362 Å, b = 3.362 Å, c = 7.127 Å
α = 103.64°, β = 103.64°, γ = 90.00°
Site moments in Bohr magnetons follow the coordinates.
Positions (direct):
Lu: 0.316 0.316 0.632  0.17
Ag: 0.675 0.675 0.350  0.02
Pu: 0.009 0.009 0.019  5.59

Properties
The calculation puts the mass density at 11.523 g/cm³. Its space group is No. 107. For the formation energy, the calculation gives -2 meV/atom. The calculation puts the total energy at -21.7 eV per cell.